*i*
This record from Alexandria describes Sm2HoIn4 after structural relaxation. The functional is PBE-GGA.

Geometry as CIF:
```
data_Sm2HoIn4
_space_group_name_H-M_alt 'P 1'
_space_group_IT_number 1
_cell_length_a 5.648
_cell_length_b 5.648
_cell_length_c 15.887
_cell_angle_alpha 90.00
_cell_angle_beta 90.00
_cell_angle_gamma 90.00
loop_
_space_group_symop_operation_xyz
'x,y,z'
loop_
_atom_site_label
_atom_site_fract_x
_atom_site_fract_y
_atom_site_fract_z
Sm1 0.000 0.000 0.107
Sm2 0.000 0.000 0.893
Sm3 0.500 0.500 0.393
Sm4 0.500 0.500 0.607
Ho1 0.000 0.000 0.500
Ho2 0.500 0.500 0.000
In1 0.000 0.000 0.309
In2 0.000 0.000 0.691
In3 0.000 0.500 0.000
In4 0.000 0.500 0.500
In5 0.500 0.000 0.000
In6 0.500 0.000 0.500
In7 0.500 0.500 0.191
In8 0.500 0.500 0.809
```

***

*ii*
This record from Alexandria describes Sm2HoIn4 after structural relaxation. The functional is PBE-GGA.

Geometry as CIF:
```
data_Sm2HoIn4
_space_group_name_H-M_alt 'P 1'
_space_group_IT_number 1
_cell_length_a 5.276
_cell_length_b 5.276
_cell_length_c 14.813
_cell_angle_alpha 90.00
_cell_angle_beta 90.00
_cell_angle_gamma 90.00
loop_
_space_group_symop_operation_xyz
'x,y,z'
loop_
_atom_site_label
_atom_site_fract_x
_atom_site_fract_y
_atom_site_fract_z
Sm1 0.000 0.000 0.249
Sm2 0.000 0.000 0.751
Sm3 0.500 0.500 0.251
Sm4 0.500 0.500 0.749
Ho1 0.000 0.000 0.500
Ho2 0.500 0.500 0.000
In1 0.000 0.500 0.111
In2 0.000 0.500 0.389
In3 0.000 0.500 0.611
In4 0.000 0.500 0.889
In5 0.500 0.000 0.111
In6 0.500 0.000 0.389
In7 0.500 0.000 0.611
In8 0.500 0.000 0.889
```

***

Computed relative energies in units of eV/atom: *i* 0.476; *ii* 0.000

***

*i*
This record from Alexandria describes Sm3HoIn2 after structural relaxation. The functional is PBE-GGA.

Geometry as CIF:
```
data_Sm3HoIn2
_space_group_name_H-M_alt 'P 1'
_space_group_IT_number 1
_cell_length_a 5.273
_cell_length_b 9.967
_cell_length_c 6.788
_cell_angle_alpha 90.00
_cell_angle_beta 90.00
_cell_angle_gamma 90.00
loop_
_space_group_symop_operation_xyz
'x,y,z'
loop_
_atom_site_label
_atom_site_fract_x
_atom_site_fract_y
_atom_site_fract_z
Sm1 0.000 0.035 0.000
Sm2 0.000 0.325 0.339
Sm3 0.000 0.675 0.839
Sm4 0.000 0.965 0.500
Sm5 0.500 0.181 0.725
Sm6 0.500 0.819 0.225
Ho1 0.500 0.463 0.062
Ho2 0.500 0.537 0.562
In1 0.000 0.356 0.822
In2 0.000 0.644 0.322
In3 0.500 0.146 0.244
In4 0.500 0.854 0.744
```

***

*ii*
This record from Alexandria describes Sm3HoIn2 after structural relaxation. The functional is PBE-GGA.

Geometry as CIF:
```
data_Sm3HoIn2
_space_group_name_H-M_alt 'P 1'
_space_group_IT_number 1
_cell_length_a 5.446
_cell_length_b 16.957
_cell_length_c 3.849
_cell_angle_alpha 90.00
_cell_angle_beta 90.00
_cell_angle_gamma 90.00
loop_
_space_group_symop_operation_xyz
'x,y,z'
loop_
_atom_site_label
_atom_site_fract_x
_atom_site_fract_y
_atom_site_fract_z
Sm1 0.000 0.000 0.000
Sm2 0.000 0.322 0.000
Sm3 0.000 0.678 0.000
Sm4 0.500 0.178 0.000
Sm5 0.500 0.500 0.000
Sm6 0.500 0.822 0.000
Ho1 0.000 0.500 0.500
Ho2 0.500 0.000 0.500
In1 0.000 0.154 0.500
In2 0.000 0.846 0.500
In3 0.500 0.346 0.500
In4 0.500 0.654 0.500
```

***

Computed relative energies in units of eV/atom: *i* 0.000; *ii* 0.062

***

*i*
This record from Alexandria describes Sm4HoIn2 after structural relaxation. The functional is PBE-GGA.

Geometry as CIF:
```
data_Sm4HoIn2
_space_group_name_H-M_alt 'P 1'
_space_group_IT_number 1
_cell_length_a 8.525
_cell_length_b 6.647
_cell_length_c 8.618
_cell_angle_alpha 90.00
_cell_angle_beta 119.15
_cell_angle_gamma 90.00
loop_
_space_group_symop_operation_xyz
'x,y,z'
loop_
_atom_site_label
_atom_site_fract_x
_atom_site_fract_y
_atom_site_fract_z
Sm1 0.043 0.250 0.038
Sm2 0.103 0.750 0.390
Sm3 0.441 0.504 0.269
Sm4 0.441 0.996 0.269
Sm5 0.559 0.004 0.731
Sm6 0.559 0.496 0.731
Sm7 0.897 0.250 0.610
Sm8 0.957 0.750 0.962
Ho1 0.253 0.750 0.832
Ho2 0.747 0.250 0.168
In1 0.188 0.250 0.461
In2 0.327 0.250 0.890
In3 0.673 0.750 0.110
In4 0.812 0.750 0.539
```

***

*ii*
This record from Alexandria describes Sm4HoIn2 after structural relaxation. The functional is PBE-GGA.

Geometry as CIF:
```
data_Sm4HoIn2
_space_group_name_H-M_alt 'P 1'
_space_group_IT_number 1
_cell_length_a 6.271
_cell_length_b 11.912
_cell_length_c 6.682
_cell_angle_alpha 90.00
_cell_angle_beta 120.24
_cell_angle_gamma 90.00
loop_
_space_group_symop_operation_xyz
'x,y,z'
loop_
_atom_site_label
_atom_site_fract_x
_atom_site_fract_y
_atom_site_fract_z
Sm1 0.061 0.211 0.400
Sm2 0.061 0.289 0.900
Sm3 0.423 0.619 0.074
Sm4 0.423 0.881 0.574
Sm5 0.577 0.119 0.426
Sm6 0.577 0.381 0.926
Sm7 0.939 0.711 0.100
Sm8 0.939 0.789 0.600
Ho1 0.000 0.000 0.000
Ho2 0.000 0.500 0.500
In1 0.482 0.114 0.892
In2 0.482 0.386 0.392
In3 0.518 0.614 0.608
In4 0.518 0.886 0.108
```

***

Computed relative energies in units of eV/atom: *i* 0.000; *ii* 0.025

***

*i*
This record from Alexandria describes Sm2Ho2In3 after structural relaxation. The functional is PBE-GGA.

Geometry as CIF:
```
data_Sm2Ho2In3
_space_group_name_H-M_alt 'P 1'
_space_group_IT_number 1
_cell_length_a 4.561
_cell_length_b 24.853
_cell_length_c 3.484
_cell_angle_alpha 90.00
_cell_angle_beta 90.00
_cell_angle_gamma 90.00
loop_
_space_group_symop_operation_xyz
'x,y,z'
loop_
_atom_site_label
_atom_site_fract_x
_atom_site_fract_y
_atom_site_fract_z
Sm1 0.000 0.071 0.000
Sm2 0.000 0.929 0.000
Sm3 0.500 0.429 0.000
Sm4 0.500 0.571 0.000
Ho1 0.000 0.202 0.000
Ho2 0.000 0.798 0.000
Ho3 0.500 0.298 0.000
Ho4 0.500 0.702 0.000
In1 0.000 0.355 0.500
In2 0.000 0.500 0.500
In3 0.000 0.645 0.500
In4 0.500 0.000 0.500
In5 0.500 0.145 0.500
In6 0.500 0.855 0.500
```

***

*ii*
This record from Alexandria describes Sm2Ho2In3 after structural relaxation. The functional is PBE-GGA.

Geometry as CIF:
```
data_Sm2Ho2In3
_space_group_name_H-M_alt 'P 1'
_space_group_IT_number 1
_cell_length_a 3.876
_cell_length_b 6.606
_cell_length_c 9.027
_cell_angle_alpha 68.89
_cell_angle_beta 77.66
_cell_angle_gamma 72.99
loop_
_space_group_symop_operation_xyz
'x,y,z'
loop_
_atom_site_label
_atom_site_fract_x
_atom_site_fract_y
_atom_site_fract_z
Sm1 0.114 0.222 0.048
Sm2 0.886 0.778 0.952
Ho1 0.369 0.439 0.322
Ho2 0.631 0.561 0.678
In1 0.000 0.000 0.500
In2 0.325 0.144 0.708
In3 0.675 0.856 0.292
```

***

Computed relative energies in units of eV/atom: *i* 0.000; *ii* 0.025

***

*i*
This record from Alexandria describes Sm4Ho5In after structural relaxation. The functional is PBE-GGA.

Geometry as CIF:
```
data_Sm4Ho5In
_space_group_name_H-M_alt 'P 1'
_space_group_IT_number 1
_cell_length_a 3.579
_cell_length_b 3.579
_cell_length_c 24.438
_cell_angle_alpha 90.00
_cell_angle_beta 90.00
_cell_angle_gamma 90.00
loop_
_space_group_symop_operation_xyz
'x,y,z'
loop_
_atom_site_label
_atom_site_fract_x
_atom_site_fract_y
_atom_site_fract_z
Sm1 0.000 0.000 0.103
Sm2 0.000 0.000 0.311
Sm3 0.000 0.000 0.689
Sm4 0.000 0.000 0.897
Ho1 0.500 0.500 0.000
Ho2 0.500 0.500 0.206
Ho3 0.500 0.500 0.415
Ho4 0.500 0.500 0.585
Ho5 0.500 0.500 0.794
In1 0.000 0.000 0.500
```

***

*ii*
This record from Alexandria describes Sm4Ho5In after structural relaxation. The functional is PBE-GGA.

Geometry as CIF:
```
data_Sm4Ho5In
_space_group_name_H-M_alt 'P 1'
_space_group_IT_number 1
_cell_length_a 8.081
_cell_length_b 8.081
_cell_length_c 8.081
_cell_angle_alpha 97.41
_cell_angle_beta 97.41
_cell_angle_gamma 137.90
loop_
_space_group_symop_operation_xyz
'x,y,z'
loop_
_atom_site_label
_atom_site_fract_x
_atom_site_fract_y
_atom_site_fract_z
Sm1 0.000 0.312 0.312
Sm2 0.000 0.688 0.688
Sm3 0.312 0.000 0.312
Sm4 0.688 0.000 0.688
Ho1 0.210 0.210 0.000
Ho2 0.313 0.313 0.630
Ho3 0.313 0.683 0.000
Ho4 0.683 0.313 0.000
Ho5 0.683 0.683 0.370
In1 0.726 0.726 0.000
```

***

Computed relative energies in units of eV/atom: *i* 0.000; *ii* 0.173